TmCdInHg | PBE | optimized geometry

```
data_TmCdInHg
_chemical_formula_sum 'Tm1 Cd1 In1 Hg1'
_cell_length_a 4.236
_cell_length_b 4.736
_cell_length_c 4.749
_cell_angle_alpha 90.00
_cell_angle_beta 90.00
_cell_angle_gamma 90.00
_space_group_name_H-M_alt 'P 1'
_space_group_IT_number 1
loop_
_space_group_symop_operation_xyz
'x,y,z'
loop_
_atom_site_label
_atom_site_type_symbol
_atom_site_fract_x
_atom_site_fract_y
_atom_site_fract_z
_atom_site_occupancy
Tm1 Tm 0.000 0.000 0.000 1
Cd1 Cd 0.000 0.500 0.500 1
In1 In 0.500 0.000 0.500 1
Hg1 Hg 0.500 0.500 0.000 1
```

energy relative to the lowest polymorph listed for this composition	0.00	kcal/mol of atoms
mass density	10.40	g/cm³

---

TmCdIn2Hg6 | PBE | optimized geometry

```
data_TmCdIn2Hg6
_chemical_formula_sum 'Tm2 Cd2 In4 Hg12'
_cell_length_a 8.157
_cell_length_b 8.157
_cell_length_c 9.313
_cell_angle_alpha 105.42
_cell_angle_beta 105.42
_cell_angle_gamma 110.61
_space_group_name_H-M_alt 'P 1'
_space_group_IT_number 1
loop_
_space_group_symop_operation_xyz
'x,y,z'
loop_
_atom_site_label
_atom_site_type_symbol
_atom_site_fract_x
_atom_site_fract_y
_atom_site_fract_z
_atom_site_occupancy
Tm1 Tm 0.240 0.760 0.750 1
Tm2 Tm 0.760 0.240 0.250 1
Cd1 Cd 0.019 0.981 0.250 1
Cd2 Cd 0.981 0.019 0.750 1
In1 In 0.160 0.664 0.350 1
In2 In 0.336 0.840 0.150 1
In3 In 0.664 0.160 0.850 1
In4 In 0.840 0.336 0.650 1
Hg1 Hg 0.067 0.292 0.100 1
Hg2 Hg 0.168 0.361 0.523 1
Hg3 Hg 0.276 0.460 0.897 1
Hg4 Hg 0.292 0.067 0.600 1
Hg5 Hg 0.361 0.168 0.023 1
Hg6 Hg 0.460 0.276 0.397 1
Hg7 Hg 0.540 0.724 0.603 1
Hg8 Hg 0.639 0.832 0.977 1
Hg9 Hg 0.708 0.933 0.400 1
Hg10 Hg 0.724 0.540 0.103 1
Hg11 Hg 0.832 0.639 0.477 1
Hg12 Hg 0.933 0.708 0.900 1
```

total energy	-1.37	eV per atom
mass density	11.10	g/cm³

---

YCdInHg | PBE | optimized geometry

```
data_YCdInHg
_chemical_formula_sum 'Y1 Cd1 In1 Hg1'
_cell_length_a 5.168
_cell_length_b 5.168
_cell_length_c 5.168
_cell_angle_alpha 60.00
_cell_angle_beta 60.00
_cell_angle_gamma 60.00
_space_group_name_H-M_alt 'P 1'
_space_group_IT_number 1
loop_
_space_group_symop_operation_xyz
'x,y,z'
loop_
_atom_site_label
_atom_site_type_symbol
_atom_site_fract_x
_atom_site_fract_y
_atom_site_fract_z
_atom_site_occupancy
Y1 Y 0.000 0.000 0.000 1
Cd1 Cd 0.500 0.500 0.500 1
In1 In 0.750 0.750 0.750 1
Hg1 Hg 0.250 0.250 0.250 1
```

energy relative to the lowest polymorph listed for this composition	1.19	kcal/mol of atoms
mass density	8.79	g/cm³

---

YCdInHg | PBE | optimized geometry

```
data_YCdInHg
_chemical_formula_sum 'Y1 Cd1 In1 Hg1'
_cell_length_a 4.324
_cell_length_b 4.744
_cell_length_c 4.754
_cell_angle_alpha 90.00
_cell_angle_beta 90.00
_cell_angle_gamma 90.00
_space_group_name_H-M_alt 'P 1'
_space_group_IT_number 1
loop_
_space_group_symop_operation_xyz
'x,y,z'
loop_
_atom_site_label
_atom_site_type_symbol
_atom_site_fract_x
_atom_site_fract_y
_atom_site_fract_z
_atom_site_occupancy
Y1 Y 0.000 0.000 0.000 1
Cd1 Cd 0.000 0.500 0.500 1
In1 In 0.500 0.500 0.000 1
Hg1 Hg 0.500 0.000 0.500 1
```

energy relative to the lowest polymorph listed for this composition	0.00	kcal/mol of atoms
mass density	8.80	g/cm³

---

ZnCdIn2Hg6 | PBE | optimized geometry

```
data_ZnCdIn2Hg6
_chemical_formula_sum 'Zn1 Cd1 In2 Hg6'
_cell_length_a 6.292
_cell_length_b 6.292
_cell_length_c 7.450
_cell_angle_alpha 105.55
_cell_angle_beta 105.55
_cell_angle_gamma 76.60
_space_group_name_H-M_alt 'P 1'
_space_group_IT_number 1
loop_
_space_group_symop_operation_xyz
'x,y,z'
loop_
_atom_site_label
_atom_site_type_symbol
_atom_site_fract_x
_atom_site_fract_y
_atom_site_fract_z
_atom_site_occupancy
Zn1 Zn 0.000 0.000 0.000 1
Cd1 Cd 0.500 0.500 0.500 1
In1 In 0.358 0.358 0.816 1
In2 In 0.642 0.642 0.184 1
Hg1 Hg 0.128 0.642 0.194 1
Hg2 Hg 0.174 0.174 0.385 1
Hg3 Hg 0.358 0.872 0.806 1
Hg4 Hg 0.642 0.128 0.194 1
Hg5 Hg 0.826 0.826 0.615 1
Hg6 Hg 0.872 0.358 0.806 1
```

total energy	-0.89	eV per atom
mass density	9.92	g/cm³

---

ZnCdInHg | PBE | optimized geometry

```
data_ZnCdInHg
_chemical_formula_sum 'Zn1 Cd1 In1 Hg1'
_cell_length_a 5.075
_cell_length_b 5.075
_cell_length_c 5.075
_cell_angle_alpha 60.00
_cell_angle_beta 60.00
_cell_angle_gamma 60.00
_space_group_name_H-M_alt 'P 1'
_space_group_IT_number 1
loop_
_space_group_symop_operation_xyz
'x,y,z'
loop_
_atom_site_label
_atom_site_type_symbol
_atom_site_fract_x
_atom_site_fract_y
_atom_site_fract_z
_atom_site_occupancy
Zn1 Zn 0.000 0.000 0.000 1
Cd1 Cd 0.750 0.750 0.750 1
In1 In 0.250 0.250 0.250 1
Hg1 Hg 0.500 0.500 0.500 1
```

total energy	-1.22	eV per atom
mass density	8.86	g/cm³

---

Number 1: DOS at the Fermi energy 0.499 states/eV/atom. Number 2: DOS at the Fermi energy 0.445 states/eV/atom. Number 3: DOS at the Fermi energy 0.181 states/eV/atom. Number 4: DOS at the Fermi energy 0.582 states/eV/atom. Number 5: DOS at the Fermi energy 0.369 states/eV/atom. Number 6: DOS at the Fermi energy 0.129 states/eV/atom.